[1]
SrCaY | PBE-GGA | optimized geometry

```
SrCaY
1.0
6.041 0.000 0.000
3.021 5.232 0.000
3.021 1.744 4.933
Sr Ca Y
1 1 1
direct
0.500 0.500 0.500
0.000 0.000 0.000
0.750 0.750 0.750
```

## Properties
ΔH_f (0 K) = 710 meV per atom
ΔE to the lowest computed polymorph = 562 meV/atom
size of the total moment = 0.00 μB per formula unit


[2]
HoEr2Hg6 | PBE-GGA | optimized geometry

```
HoEr2Hg6
1.0
4.482 0.000 0.000
0.000 4.482 0.000
-2.241 -2.241 12.752
Ho Hg Er
1 6 2
direct
0.000 0.000 0.000
0.750 0.250 0.500
0.916 0.416 0.832
0.084 0.584 0.168
0.416 0.916 0.832
0.250 0.750 0.500
0.584 0.084 0.168
0.667 0.667 0.334
0.333 0.333 0.666
```

## Properties
ΔH_f (0 K) = -145 meV per atom
ΔE to the lowest computed polymorph = 239 meV/atom
size of the total moment = 0.00 μB per formula unit


[3]
ZnInAu2 | PBE-GGA | optimized geometry

```
ZnInAu2
1.0
4.566 0.083 0.000
-0.852 4.487 0.000
0.000 0.000 3.649
Zn Au In
1 2 1
direct
0.000 0.500 0.500
0.500 0.500 0.000
0.000 0.000 0.000
0.500 0.000 0.500
```

## Properties
ΔH_f (0 K) = -110 meV per atom
size of the total moment = 0.00 μB per formula unit


[4]
FeCu2 | PBE-GGA | optimized geometry

```
FeCu2
1.0
5.853 0.020 0.000
4.747 3.425 0.000
-5.300 -1.723 1.790
Fe Cu
1 2
direct
0.333 0.333 0.000
0.667 0.667 0.000
0.000 0.000 0.000
```

## Properties
ΔH_f (0 K) = 101 meV per atom
size of the total moment = 2.63 μB per formula unit


[5]
CrSiTe4 | PBE-GGA | optimized geometry

```
CrSiTe4
1.0
-1.892 -2.800 1.560
5.815 -2.115 3.256
-3.737 7.666 9.225
Cr Te Si
2 8 2
direct
0.000 0.000 0.500
0.500 0.500 0.000
0.000 0.665 0.376
0.500 0.165 0.876
0.000 0.344 0.121
0.500 0.844 0.621
0.000 0.335 0.624
0.000 0.656 0.879
0.500 0.156 0.379
0.500 0.835 0.124
0.500 0.500 0.500
0.000 0.000 0.000
```

## Properties
ΔE to the lowest computed polymorph = 0 meV/atom
formation energy without anion corrections = -0.083 eV/atom
size of the total moment = 2.33 μB per formula unit


no.,E_tot (eV/f.u.)
1,-8.02
2,-16.82
3,-11.01
4,-16.35
5,-28.11